1) ! PBEsol ScFePb2, relaxed; values from VASP
! Space group = F-43m, No. 216
! Magnetization = 1.4 μB per cell
&SYSTEM
  ibrav = 0, nat = 4, ntyp = 3
/
ATOMIC_SPECIES
Fe 55.84 Fe.upf
Pb 207.20 Pb.upf
Sc 44.96 Sc.upf
CELL_PARAMETERS angstrom
-0.317 -4.663 1.708
1.102 -3.824 -2.988
4.138 -2.652 0.776
ATOMIC_POSITIONS crystal
Fe 0.500 0.500 0.500
Pb 0.000 0.000 0.000
Pb 0.750 0.750 0.750
Sc 0.250 0.250 0.250


2) ! PBEsol ScFePb2, relaxed; values from VASP
! Space group = Pm, No. 6
! Magnetization = 2.0 μB per cell
&SYSTEM
  ibrav = 0, nat = 4, ntyp = 3
/
ATOMIC_SPECIES
Fe 55.84 Fe.upf
Pb 207.20 Pb.upf
Sc 44.96 Sc.upf
CELL_PARAMETERS angstrom
3.450 0.000 0.024
0.000 4.464 0.000
-1.415 0.000 5.616
ATOMIC_POSITIONS crystal
Fe 0.443 0.500 0.751
Pb 0.890 0.000 0.954
Pb 0.548 0.500 0.292
Sc 0.119 0.000 0.504


3) ! PBEsol ScFePb2, relaxed; values from VASP
! Space group = P4/mmm, No. 123
! Magnetization = 2.7 μB per cell
&SYSTEM
  ibrav = 0, nat = 4, ntyp = 3
/
ATOMIC_SPECIES
Fe 55.84 Fe.upf
Pb 207.20 Pb.upf
Sc 44.96 Sc.upf
CELL_PARAMETERS angstrom
4.108 0.000 0.000
0.000 4.513 0.000
0.000 0.000 4.513
ATOMIC_POSITIONS crystal
Fe 0.500 0.500 0.500
Pb 0.000 0.000 0.500
Pb 0.000 0.500 0.000
Sc 0.500 0.000 0.000


4) ! PBEsol ScFePb2, relaxed; values from VASP
! Space group = R-3m, No. 166
! Magnetization = 2.0 μB per cell
&SYSTEM
  ibrav = 0, nat = 4, ntyp = 3
/
ATOMIC_SPECIES
Fe 55.84 Fe.upf
Pb 207.20 Pb.upf
Sc 44.96 Sc.upf
CELL_PARAMETERS angstrom
3.386 0.000 0.000
1.693 2.932 0.000
1.693 0.977 8.565
ATOMIC_POSITIONS crystal
Fe 0.000 0.000 0.000
Pb 0.260 0.260 0.219
Pb 0.740 0.740 0.781
Sc 0.500 0.500 0.500


We find 3) to be the most stable, with the next structure 7.0 kJ/mol of atoms higher.


1) ! PBEsol FePbSe, relaxed; values from VASP
! Space group = F-43m, No. 216
! Magnetization = 3.0 μB per cell
&SYSTEM
  ibrav = 0, nat = 3, ntyp = 3
/
ATOMIC_SPECIES
Fe 55.84 Fe.upf
Pb 207.20 Pb.upf
Se 78.96 Se.upf
CELL_PARAMETERS angstrom
4.742 0.000 0.000
2.371 4.107 0.000
2.371 1.369 3.872
ATOMIC_POSITIONS crystal
Fe 0.500 0.500 0.500
Pb 0.250 0.250 0.250
Se 0.000 0.000 0.000


2) ! PBEsol FePbSe, relaxed; values from VASP
! Space group = I4mm, No. 107
! Magnetization = 1.2 μB per cell
&SYSTEM
  ibrav = 0, nat = 3, ntyp = 3
/
ATOMIC_SPECIES
Fe 55.84 Fe.upf
Pb 207.20 Pb.upf
Se 78.96 Se.upf
CELL_PARAMETERS angstrom
-1.778 0.525 -2.433
2.323 -0.724 -1.854
-2.097 -5.873 2.188
ATOMIC_POSITIONS crystal
Fe 0.028 0.028 0.057
Pb 0.358 0.358 0.717
Se 0.613 0.613 0.226


We find 2) to be the most stable, with the next structure 76.8 kJ/mol of atoms higher.


1) ! PBEsol TaFePb2, relaxed; values from VASP
! Space group = C2/m, No. 12
! Magnetization = 2.3 μB per cell
&SYSTEM
  ibrav = 0, nat = 4, ntyp = 3
/
ATOMIC_SPECIES
Fe 55.84 Fe.upf
Pb 207.20 Pb.upf
Ta 180.95 Ta.upf
CELL_PARAMETERS angstrom
3.276 0.000 0.000
0.000 5.192 -0.064
-1.638 -2.531 4.652
ATOMIC_POSITIONS crystal
Fe 0.500 0.000 0.000
Pb 0.226 0.226 0.452
Pb 0.774 0.774 0.548
Ta 0.000 0.500 0.000


2) ! PBEsol TaFePb2, relaxed; values from VASP
! Space group = P4/mmm, No. 123
! Magnetization = 2.1 μB per cell
&SYSTEM
  ibrav = 0, nat = 4, ntyp = 3
/
ATOMIC_SPECIES
Fe 55.84 Fe.upf
Pb 207.20 Pb.upf
Ta 180.95 Ta.upf
CELL_PARAMETERS angstrom
-3.024 0.502 1.190
1.274 -2.168 4.154
1.418 4.281 1.799
ATOMIC_POSITIONS crystal
Fe 0.500 0.000 0.000
Pb 0.000 0.000 0.500
Pb 0.000 0.500 0.000
Ta 0.500 0.500 0.500


We find 2) to be the most stable, with the next structure 2.5 kJ/mol of atoms higher.


1) ! PBEsol Fe2TePb, relaxed; values from VASP
! Space group = Amm2, No. 38
! Magnetization = 4.8 μB per cell
&SYSTEM
  ibrav = 0, nat = 4, ntyp = 3
/
ATOMIC_SPECIES
Fe 55.84 Fe.upf
Pb 207.20 Pb.upf
Te 127.60 Te.upf
CELL_PARAMETERS angstrom
-0.248 0.853 -3.577
-3.960 0.771 0.458
1.151 4.229 2.828
ATOMIC_POSITIONS crystal
Fe 0.195 0.000 0.390
Fe 0.063 0.500 0.126
Pb 0.478 0.000 0.956
Te 0.764 0.500 0.527


2) ! PBEsol Fe2TePb, relaxed; values from VASP
! Space group = R3m, No. 160
! Magnetization = 2.7 μB per cell
&SYSTEM
  ibrav = 0, nat = 4, ntyp = 3
/
ATOMIC_SPECIES
Fe 55.84 Fe.upf
Pb 207.20 Pb.upf
Te 127.60 Te.upf
CELL_PARAMETERS angstrom
3.838 0.000 0.000
1.919 3.324 0.000
1.919 1.108 6.299
ATOMIC_POSITIONS crystal
Fe 0.027 0.027 0.920
Fe 0.712 0.712 0.865
Pb 0.472 0.472 0.585
Te 0.290 0.290 0.131


We find 2) to be the most stable, with the next structure 8.5 kJ/mol of atoms higher.


1) ! PBEsol TlFePb2, relaxed; values from VASP
! Space group = Imm2, No. 44
! Magnetization = 2.2 μB per cell
&SYSTEM
  ibrav = 0, nat = 4, ntyp = 3
/
ATOMIC_SPECIES
Fe 55.84 Fe.upf
Pb 207.20 Pb.upf
Tl 204.38 Tl.upf
CELL_PARAMETERS angstrom
-2.855 0.406 1.303
-1.941 -1.165 -3.887
2.368 -6.205 3.281
ATOMIC_POSITIONS crystal
Fe 0.254 0.754 0.507
Pb 0.929 0.929 0.858
Pb 0.747 0.247 0.495
Tl 0.570 0.570 0.139


2) ! PBEsol TlFePb2, relaxed; values from VASP
! Space group = C2/m, No. 12
! Magnetization = 3.0 μB per cell
&SYSTEM
  ibrav = 0, nat = 4, ntyp = 3
/
ATOMIC_SPECIES
Fe 55.84 Fe.upf
Pb 207.20 Pb.upf
Tl 204.38 Tl.upf
CELL_PARAMETERS angstrom
-3.187 -0.812 0.307
0.966 -1.821 5.114
-1.295 5.330 0.567
ATOMIC_POSITIONS crystal
Fe 0.500 0.000 0.000
Pb 0.000 0.000 0.500
Pb 0.000 0.500 0.000
Tl 0.500 0.500 0.500


We find 1) to be the most stable, with the next structure 17.2 kJ/mol of atoms higher.


1) ! PBEsol Tl2FePb, relaxed; values from VASP
! Space group = Immm, No. 71
! Magnetization = 2.2 μB per cell
&SYSTEM
  ibrav = 0, nat = 4, ntyp = 3
/
ATOMIC_SPECIES
Fe 55.84 Fe.upf
Pb 207.20 Pb.upf
Tl 204.38 Tl.upf
CELL_PARAMETERS angstrom
3.119 0.000 0.000
0.000 4.450 0.000
-1.560 -2.225 6.930
ATOMIC_POSITIONS crystal
Fe 0.500 0.000 0.000
Pb 0.000 0.500 0.000
Tl 0.819 0.819 0.638
Tl 0.181 0.181 0.362


2) ! PBEsol Tl2FePb, relaxed; values from VASP
! Space group = Imm2, No. 44
! Magnetization = 2.1 μB per cell
&SYSTEM
  ibrav = 0, nat = 4, ntyp = 3
/
ATOMIC_SPECIES
Fe 55.84 Fe.upf
Pb 207.20 Pb.upf
Tl 204.38 Tl.upf
CELL_PARAMETERS angstrom
-3.009 -0.143 -0.610
-0.815 -1.279 4.325
1.242 7.190 -0.068
ATOMIC_POSITIONS crystal
Fe 0.499 0.499 0.997
Pb 0.821 0.321 0.642
Tl 0.001 0.001 0.003
Tl 0.179 0.679 0.358


We find 2) to be the most stable, with the next structure 2.4 kJ/mol of atoms higher.


1) ! PBEsol TlFePb, relaxed; values from VASP
! Space group = P3m1, No. 156
! Magnetization = 2.8 μB per cell
&SYSTEM
  ibrav = 0, nat = 3, ntyp = 3
/
ATOMIC_SPECIES
Fe 55.84 Fe.upf
Pb 207.20 Pb.upf
Tl 204.38 Tl.upf
CELL_PARAMETERS angstrom
-0.667 -1.895 -2.612
-2.031 -3.291 2.906
-2.690 3.550 -1.887
ATOMIC_POSITIONS crystal
Fe 0.168 0.000 0.000
Pb 0.666 0.333 0.667
Tl 0.166 0.667 0.333


2) ! PBEsol TlFePb, relaxed; values from VASP
! Space group = I4mm, No. 107
! Magnetization = 2.4 μB per cell
&SYSTEM
  ibrav = 0, nat = 3, ntyp = 3
/
ATOMIC_SPECIES
Fe 55.84 Fe.upf
Pb 207.20 Pb.upf
Tl 204.38 Tl.upf
CELL_PARAMETERS angstrom
3.366 0.000 0.000
0.000 3.366 0.000
-1.683 -1.683 5.691
ATOMIC_POSITIONS crystal
Fe 0.999 0.999 0.998
Pb 0.360 0.360 0.720
Tl 0.641 0.641 0.282


We find 2) to be the most stable, with the next structure 12.5 kJ/mol of atoms higher.


1) ! PBEsol TaFe2Pt, relaxed; values from VASP
! Space group = P4/mmm, No. 123
! Magnetization = 2.7 μB per cell
&SYSTEM
  ibrav = 0, nat = 4, ntyp = 3
/
ATOMIC_SPECIES
Fe 55.84 Fe.upf
Pt 195.08 Pt.upf
Ta 180.95 Ta.upf
CELL_PARAMETERS angstrom
3.660 0.000 0.000
0.000 3.802 0.000
0.000 0.000 3.802
ATOMIC_POSITIONS crystal
Fe 0.000 0.000 0.500
Fe 0.000 0.500 0.000
Pt 0.500 0.500 0.500
Ta 0.500 0.000 0.000


2) ! PBEsol TaFe2Pt, relaxed; values from VASP
! Space group = R3m, No. 160
! Magnetization = 4.8 μB per cell
&SYSTEM
  ibrav = 0, nat = 4, ntyp = 3
/
ATOMIC_SPECIES
Fe 55.84 Fe.upf
Pt 195.08 Pt.upf
Ta 180.95 Ta.upf
CELL_PARAMETERS angstrom
2.786 0.000 0.000
1.393 2.413 0.000
1.393 0.804 8.357
ATOMIC_POSITIONS crystal
Fe 0.007 0.007 0.980
Fe 0.744 0.744 0.767
Pt 0.496 0.496 0.513
Ta 0.253 0.253 0.240


We find 1) to be the most stable, with the next structure 37.8 kJ/mol of atoms higher.


1) ! PBEsol TaFePt, relaxed; values from VASP
! Space group = F-43m, No. 216
! Magnetization = 0.0 μB per cell
&SYSTEM
  ibrav = 0, nat = 3, ntyp = 3
/
ATOMIC_SPECIES
Fe 55.84 Fe.upf
Pt 195.08 Pt.upf
Ta 180.95 Ta.upf
CELL_PARAMETERS angstrom
-3.874 1.409 -0.355
-3.055 -2.588 -1.045
-2.855 -1.068 2.799
ATOMIC_POSITIONS crystal
Fe 0.000 0.000 0.000
Pt 0.500 0.500 0.500
Ta 0.250 0.250 0.250


2) ! PBEsol TaFePt, relaxed; values from VASP
! Space group = Fmm2, No. 42
! Magnetization = 2.3 μB per cell
&SYSTEM
  ibrav = 0, nat = 3, ntyp = 3
/
ATOMIC_SPECIES
Fe 55.84 Fe.upf
Pt 195.08 Pt.upf
Ta 180.95 Ta.upf
CELL_PARAMETERS angstrom
-0.441 2.688 0.268
-1.836 -0.486 1.970
5.339 -0.808 2.867
ATOMIC_POSITIONS crystal
Fe 0.996 0.996 0.991
Pt 0.341 0.341 0.683
Ta 0.663 0.663 0.326


3) ! PBEsol TaFePt, relaxed; values from VASP
! Space group = P3m1, No. 156
! Magnetization = 1.8 μB per cell
&SYSTEM
  ibrav = 0, nat = 3, ntyp = 3
/
ATOMIC_SPECIES
Fe 55.84 Fe.upf
Pt 195.08 Pt.upf
Ta 180.95 Ta.upf
CELL_PARAMETERS angstrom
-1.243 2.069 -1.192
-3.625 -0.943 2.142
2.876 2.719 1.718
ATOMIC_POSITIONS crystal
Fe 0.049 0.000 0.000
Pt 0.681 0.333 0.667
Ta 0.270 0.667 0.333


We find 2) to be the most stable, with the next structure 3.8 kJ/mol of atoms higher.


1) ! PBEsol FeTcPt2, relaxed; values from VASP
! Space group = Pmm2, No. 25
! Magnetization = 3.1 μB per cell
&SYSTEM
  ibrav = 0, nat = 4, ntyp = 3
/
ATOMIC_SPECIES
Tc 98.00 Tc.upf
Pt 195.08 Pt.upf
Fe 55.84 Fe.upf
CELL_PARAMETERS angstrom
2.665 0.000 0.000
0.000 4.355 0.000
0.000 0.000 4.770
ATOMIC_POSITIONS crystal
Tc 0.500 0.000 0.534
Pt 0.000 0.000 0.045
Pt 0.000 0.500 0.705
Fe 0.500 0.500 0.216


2) ! PBEsol FeTcPt2, relaxed; values from VASP
! Space group = P4/mmm, No. 123
! Magnetization = 3.0 μB per cell
&SYSTEM
  ibrav = 0, nat = 4, ntyp = 3
/
ATOMIC_SPECIES
Tc 98.00 Tc.upf
Pt 195.08 Pt.upf
Fe 55.84 Fe.upf
CELL_PARAMETERS angstrom
2.682 0.000 0.000
0.000 2.682 0.000
0.000 0.000 7.680
ATOMIC_POSITIONS crystal
Tc 0.500 0.500 0.000
Pt 0.000 0.000 0.745
Pt 0.000 0.000 0.255
Fe 0.500 0.500 0.500


We find 2) to be the most stable, with the next structure 1.3 kJ/mol of atoms higher.


1) ! PBEsol FeTe2Pt, relaxed; values from VASP
! Space group = P4mm, No. 99
! Magnetization = 1.9 μB per cell
&SYSTEM
  ibrav = 0, nat = 4, ntyp = 3
/
ATOMIC_SPECIES
Fe 55.84 Fe.upf
Pt 195.08 Pt.upf
Te 127.60 Te.upf
CELL_PARAMETERS angstrom
-3.471 -0.083 0.098
0.119 -3.096 1.571
0.098 3.140 6.179
ATOMIC_POSITIONS crystal
Fe 0.000 0.000 0.526
Pt 0.500 0.500 0.727
Te 0.000 0.000 0.896
Te 0.500 0.500 0.350


2) ! PBEsol FeTe2Pt, relaxed; values from VASP
! Space group = P2/m, No. 10
! Magnetization = 1.9 μB per cell
&SYSTEM
  ibrav = 0, nat = 4, ntyp = 3
/
ATOMIC_SPECIES
Fe 55.84 Fe.upf
Pt 195.08 Pt.upf
Te 127.60 Te.upf
CELL_PARAMETERS angstrom
-0.650 -0.588 -3.240
2.408 -2.416 -0.045
-4.518 -4.413 1.707
ATOMIC_POSITIONS crystal
Fe 0.500 0.500 0.000
Pt 0.500 0.500 0.500
Te 0.000 0.086 0.238
Te 0.000 0.914 0.762


We find 1) to be the most stable, with the next structure 24.4 kJ/mol of atoms higher.


1) ! PBEsol FeTe2Pt, relaxed; values from VASP
! Space group = Cm, No. 8
! Magnetization = 2.4 μB per cell
&SYSTEM
  ibrav = 0, nat = 4, ntyp = 3
/
ATOMIC_SPECIES
Fe 55.84 Fe.upf
Pt 195.08 Pt.upf
Te 127.60 Te.upf
CELL_PARAMETERS angstrom
-1.839 2.299 2.619
-3.753 1.040 -0.584
-3.796 -4.079 3.880
ATOMIC_POSITIONS crystal
Fe 0.514 0.514 0.457
Pt 0.235 0.235 0.294
Te 0.972 0.972 0.083
Te 0.778 0.778 0.666


2) ! PBEsol FeTe2Pt, relaxed; values from VASP
! Space group = I-42d, No. 122
! Magnetization = 4.2 μB per cell
&SYSTEM
  ibrav = 0, nat = 8, ntyp = 3
/
ATOMIC_SPECIES
Te 127.60 Te.upf
Fe 55.84 Fe.upf
Pt 195.08 Pt.upf
CELL_PARAMETERS angstrom
-1.758 4.389 3.454
-5.546 -0.942 -1.626
2.999 -5.425 3.457
ATOMIC_POSITIONS crystal
Te 0.393 0.875 0.250
Te 0.857 0.375 0.250
Te 0.125 0.143 0.750
Te 0.625 0.607 0.750
Fe 0.750 0.250 0.500
Fe 0.500 0.500 0.000
Pt 0.250 0.750 0.500
Pt 0.000 0.000 0.000


We find 1) to be the most stable, with the next structure 20.9 kJ/mol of atoms higher.


1) ! PBEsol TlFePt, relaxed; values from VASP
! Space group = F-43m, No. 216
! Magnetization = 3.0 μB per cell
&SYSTEM
  ibrav = 0, nat = 3, ntyp = 3
/
ATOMIC_SPECIES
Fe 55.84 Fe.upf
Pt 195.08 Pt.upf
Tl 204.38 Tl.upf
CELL_PARAMETERS angstrom
4.339 0.000 0.000
2.170 3.758 0.000
2.170 1.253 3.543
ATOMIC_POSITIONS crystal
Fe 0.500 0.500 0.500
Pt 0.250 0.250 0.250
Tl 0.000 0.000 0.000


2) ! PBEsol TlFePt, relaxed; values from VASP
! Space group = I4mm, No. 107
! Magnetization = 3.0 μB per cell
&SYSTEM
  ibrav = 0, nat = 3, ntyp = 3
/
ATOMIC_SPECIES
Fe 55.84 Fe.upf
Pt 195.08 Pt.upf
Tl 204.38 Tl.upf
CELL_PARAMETERS angstrom
-2.553 1.428 -0.200
-1.427 -2.446 0.760
2.387 1.992 5.236
ATOMIC_POSITIONS crystal
Fe 0.987 0.987 0.974
Pt 0.352 0.352 0.703
Tl 0.661 0.661 0.323


We find 2) to be the most stable, with the next structure 5.7 kJ/mol of atoms higher.


1) ! PBEsol Fe2PtW, relaxed; values from VASP
! Space group = P4mm, No. 99
! Magnetization = 4.6 μB per cell
&SYSTEM
  ibrav = 0, nat = 4, ntyp = 3
/
ATOMIC_SPECIES
W 183.84 W.upf
Pt 195.08 Pt.upf
Fe 55.84 Fe.upf
CELL_PARAMETERS angstrom
-0.153 -0.257 -2.757
-1.933 -1.966 0.291
-4.872 4.764 -0.174
ATOMIC_POSITIONS crystal
W 0.500 0.500 0.776
Pt 0.000 0.000 0.482
Fe 0.000 0.000 0.021
Fe 0.500 0.500 0.221


2) ! PBEsol Fe2PtW, relaxed; values from VASP
! Space group = I4/mmm, No. 139
! Magnetization = 2.8 μB per cell
&SYSTEM
  ibrav = 0, nat = 4, ntyp = 3
/
ATOMIC_SPECIES
W 183.84 W.upf
Pt 195.08 Pt.upf
Fe 55.84 Fe.upf
CELL_PARAMETERS angstrom
3.763 0.000 0.000
0.000 3.763 0.000
-1.881 -1.881 3.645
ATOMIC_POSITIONS crystal
W 0.000 0.000 0.000
Pt 0.500 0.500 0.000
Fe 0.250 0.750 0.500
Fe 0.750 0.250 0.500


We find 2) to be the most stable, with the next structure 0.5 kJ/mol of atoms higher.